An optimized crystal structure of Li2NiAs2Rh. Source: the Alexandria database, functional PBE-GGA.

Output
* symmetry: Ibam
* total magnetization: 0.00 μB/f.u.
* ΔE_f: -0.559 eV per atom
* final energy: -4.936 eV per atom

Unit cell a=5.4755 b=5.6095 c=7.2566 alpha=112.74 beta=112.17 gamma=90.00
With the nearest neighbours (Å) after each atom.
Element x y z (fractional)
Ni  0.5000  0.7500  0.0000  4 As 2.40
Ni  0.5000  0.2500  0.0000  4 As 2.40
As  0.8550  0.1193  0.2387  2 Ni 2.40, 2 Rh 2.49, 1 Li 2.66
As  0.3837  0.6193  0.2387  2 Ni 2.40, 2 Rh 2.49, 1 Li 2.66
As  0.6163  0.3807  0.7613  2 Ni 2.40, 2 Rh 2.49, 1 Li 2.66
As  0.1450  0.8807  0.7613  2 Ni 2.40, 2 Rh 2.49, 1 Li 2.66
Li  0.4104  0.1628  0.3255  5 As 2.66-2.86, 2 Rh 2.79, 2 Ni 2.80
Li  0.9152  0.6628  0.3255  5 As 2.66-2.86, 2 Rh 2.79, 2 Ni 2.80
Li  0.5896  0.8372  0.6745  5 As 2.66-2.86, 2 Rh 2.79, 2 Ni 2.80
Li  0.0848  0.3372  0.6745  5 As 2.66-2.86, 2 Rh 2.79, 2 Ni 2.80
Rh  0.0000  0.2500  0.0000  4 As 2.49, 2 Ni 2.74, 4 Li 2.79
Rh  0.0000  0.7500  0.0000  4 As 2.49, 2 Ni 2.74, 4 Li 2.79